(1)
Computed, not measured: a relaxed structure of Cd13In2 at the PBE-GGA level of DFT.

a b c (Å): 7.8320 7.8320 23.5349
angles (deg): 90.00 90.00 120.00
Closest atoms and distances in Å follow each position.
Space group R-3m (No. 166, hexagonal axes)
Symmetry-distinct sites (fractional):
Cd: 0.0000 0.0000 0.0000 x3  6 Cd 3.01, 2 In 3.21
Cd: 0.0749 0.5374 0.4240 x18  2 In 2.97-3.06, 5 Cd 3.00-3.19
Cd: 0.0831 0.5415 0.2886 x18  6 Cd 2.94-3.19
In: 0.0000 0.0000 0.1363 x6  7 Cd 2.97-3.21

Values from the calculation:
* energy relative to the lowest polymorph listed for this composition: 120 meV/atom
* spin magnetization: 0.00 μB/cell
* E_form: 129 meV per atom

=====

(2)
Computed, not measured: a relaxed structure of Cd4In at the PBE-GGA level of DFT.

a b c (Å): 10.0752 10.0752 10.0752
angles (deg): 90.00 90.00 90.00
Closest atoms and distances in Å follow each position.
Space group I-43m (No. 217)
Symmetry-distinct sites (fractional):
Cd: 0.0000 0.0000 0.3448 x12  7 Cd 2.94-3.13, 2 In 3.03
Cd: 0.0000 0.2500 0.5000 x12  4 Cd 2.96
Cd: 0.1593 0.1593 0.1593 x8  1 In 2.89, 3 Cd 2.94
In: 0.1751 0.1751 0.8249 x8  4 Cd 2.89-3.03

Values from the calculation:
* energy relative to the lowest polymorph listed for this composition: 47 meV/atom
* spin magnetization: 0.00 μB/cell
* E_form: 77 meV per atom